No. 1
{
  "formula": "BaTeF2",
  "functional": "PBE",
  "state": "relaxed",
  "e_tot_ev_per_atom": -4.3565,
  "e_above_lowest_polymorph_mev_per_atom": 202,
  "raw_formation_energy_ev_per_atom": -2.15,
  "magmom_total_mub_per_fu": 2.000,
  "lattice_angstrom": [[-5.9571, -3.4770, -1.0619], [-0.6070, -1.0587, 6.8714], [-6.4168, 2.9422, 3.4306]],
  "species": ["F", "Te", "Ba", "F", "Ba", "F", "Te", "F"],
  "frac_coords": [[0.3750, 0.2476, 0.7500], [0.5000, 0.5000, 0.0000], [0.7500, 0.2500, 0.5000], [0.8750, 0.0024, 0.7500], [0.0000, 0.0000, 0.0000], [0.7524, 0.1250, 0.2500], [0.2500, 0.7500, 0.5000], [0.9976, 0.6250, 0.2500]]
}

***

No. 2
{
  "formula": "In2PbSe2",
  "functional": "PBE",
  "state": "relaxed",
  "e_tot_ev_per_atom": -3.3669,
  "e_above_lowest_polymorph_mev_per_atom": 100,
  "raw_formation_energy_ev_per_atom": -0.14,
  "magmom_total_mub_per_fu": 0.000,
  "lattice_angstrom": [[-7.1151, -0.5842, -4.2357], [2.1409, -7.6048, -2.5474], [-1.7834, -1.5785, 3.2134]],
  "species": ["Se", "Pb", "Se", "Pb", "In", "In", "In", "Se", "Se", "In"],
  "frac_coords": [[0.2152, 0.7152, 0.5000], [0.0000, 0.0000, 0.0000], [0.2848, 0.2152, 0.5000], [0.5000, 0.5000, 0.0000], [0.8781, 0.6219, 0.0000], [0.1219, 0.3781, 0.0000], [0.3781, 0.8781, 0.0000], [0.7152, 0.7848, 0.5000], [0.7848, 0.2848, 0.5000], [0.6219, 0.1219, 0.0000]]
}